# 1
Density functional theory data (meta-GGA SCAN) for a crystal of LiNdGe relaxed with PBEsol.

Cell lengths 4.3299, 7.1967, 7.1967 Å; angles 120.00, 90.00, 90.00 degrees
Fractional coordinates of all 9 atoms:
Li 0.5000 0.7670 0.7670
Li 0.5000 0.2330 0.0000
Li 0.5000 0.0000 0.2330
Nd 0.0000 0.0000 0.5791
Nd 0.0000 0.4209 0.4209
Nd 0.0000 0.5791 0.0000
Ge 0.5000 0.6667 0.3333
Ge 0.5000 0.3333 0.6667
Ge 0.0000 0.0000 0.0000

Calculated formation energy: -0.7500 eV/atom
N(E_F): 0.35 states/eV/f.u.


# 2
Density functional theory data (meta-GGA SCAN) for a crystal of LiNdGeO4 relaxed with PBEsol.

Cell lengths 5.0972, 5.3758, 11.8331 Å; angles 90.00, 90.00, 90.00 degrees
Fractional coordinates of all 28 atoms:
Li 0.5000 0.7500 0.7337
Li 0.5000 0.2500 0.2663
Li 0.0000 0.2500 0.7663
Li 0.0000 0.7500 0.2337
Nd 0.5000 0.7500 0.3859
Nd 0.5000 0.2500 0.6141
Nd 0.0000 0.7500 0.8859
Nd 0.0000 0.2500 0.1141
Ge 0.5000 0.2500 0.8909
Ge 0.5000 0.7500 0.1091
Ge 0.0000 0.2500 0.3909
Ge 0.0000 0.7500 0.6091
O 0.7499 0.4183 0.9588
O 0.7501 0.4183 0.4588
O 0.3225 0.4524 0.7970
O 0.3225 0.9524 0.2030
O 0.1775 0.9524 0.7030
O 0.6775 0.5476 0.2030
O 0.6775 0.0476 0.7970
O 0.2499 0.0817 0.4588
O 0.1775 0.4524 0.2970
O 0.7501 0.9183 0.5412
O 0.7499 0.9183 0.0412
O 0.8225 0.0476 0.2970
O 0.2501 0.0817 0.9588
O 0.2501 0.5817 0.0412
O 0.2499 0.5817 0.5412
O 0.8225 0.5476 0.7030

N(E_F): 0.00 states/eV/f.u.
Energy relative to the elements, uncorrected: -2.71 eV/atom


# 3
Density functional theory data (meta-GGA SCAN) for a crystal of Li3NiGe relaxed with PBEsol.

Cell lengths 4.3411, 4.3411, 4.3411 Å; angles 90.00, 90.00, 90.00 degrees
Fractional coordinates of all 5 atoms:
Ni 0.0000 0.0000 0.0000
Ge 0.5000 0.5000 0.5000
Li 0.0000 0.5000 0.0000
Li 0.0000 0.0000 0.5000
Li 0.5000 0.0000 0.0000

Calculated formation energy: 0.4223 eV/atom
N(E_F): 2.18 states/eV/f.u.


# 4
Density functional theory data (meta-GGA SCAN) for a crystal of LiNi2Ge2 relaxed with PBEsol.

Cell lengths 3.7073, 3.7073, 5.8462 Å; angles 108.49, 108.49, 90.00 degrees
Fractional coordinates of all 5 atoms:
Ni 0.2500 0.7500 0.5000
Ni 0.7500 0.2500 0.5000
Ge 0.3838 0.3838 0.7676
Ge 0.6162 0.6162 0.2324
Li 0.0000 0.0000 0.0000

Calculated formation energy: -0.3187 eV/atom
N(E_F): 2.06 states/eV/f.u.
Offset from the most stable computed form: 0.000 eV per atom


# 5
Density functional theory data (meta-GGA SCAN) for a crystal of LiNi6Ge6 relaxed with PBEsol.

Cell lengths 7.7393, 8.6303, 8.6303 Å; angles 120.00, 90.00, 90.00 degrees
Fractional coordinates of all 39 atoms:
Li 0.0000 0.3333 0.6667
Li 0.0000 0.6667 0.3333
Li 0.5000 0.0000 0.0000
Ni 0.7547 0.6661 0.8331
Ni 0.7547 0.8331 0.1669
Ni 0.7547 0.8331 0.6661
Ni 0.7547 0.1669 0.3339
Ni 0.7547 0.1669 0.8331
Ni 0.2453 0.3339 0.1669
Ni 0.2453 0.8331 0.1669
Ni 0.7547 0.3339 0.1669
Ni 0.2453 0.8331 0.6661
Ni 0.2453 0.1669 0.3339
Ni 0.2453 0.6661 0.8331
Ni 0.2453 0.1669 0.8331
Ni 0.7407 0.0000 0.5000
Ni 0.7407 0.5000 0.5000
Ni 0.7407 0.5000 0.0000
Ni 0.2593 0.0000 0.5000
Ni 0.2593 0.5000 0.5000
Ni 0.2593 0.5000 0.0000
Ge 0.0000 0.0000 0.6594
Ge 0.0000 0.6594 0.6594
Ge 0.0000 0.3406 0.0000
Ge 0.0000 0.6594 0.0000
Ge 0.0000 0.3406 0.3406
Ge 0.0000 0.0000 0.3406
Ge 0.5000 0.0000 0.6743
Ge 0.5000 0.6744 0.6744
Ge 0.5000 0.3257 0.0000
Ge 0.5000 0.6743 0.0000
Ge 0.5000 0.3256 0.3256
Ge 0.5000 0.0000 0.3256
Ge 0.6621 0.3333 0.6667
Ge 0.6621 0.6667 0.3333
Ge 0.3379 0.6667 0.3333
Ge 0.3379 0.3333 0.6667
Ge 0.8388 0.0000 0.0000
Ge 0.1612 0.0000 0.0000

Calculated formation energy: -0.3582 eV/atom
N(E_F): 3.37 states/eV/f.u.


# 6
Density functional theory data (meta-GGA SCAN) for a crystal of LiNi2Ge2 relaxed with PBEsol.

Cell lengths 2.6792, 6.9686, 6.9686 Å; angles 90.00, 90.00, 90.00 degrees
Fractional coordinates of all 10 atoms:
Ni 0.5000 0.1390 0.6390
Ni 0.5000 0.6390 0.8610
Ni 0.5000 0.8610 0.3610
Ni 0.5000 0.3610 0.1390
Ge 0.0000 0.3433 0.8433
Ge 0.0000 0.8433 0.6567
Ge 0.0000 0.6567 0.1567
Ge 0.0000 0.1567 0.3433
Li 0.0000 0.0000 0.0000
Li 0.0000 0.5000 0.5000

Calculated formation energy: -0.2973 eV/atom
N(E_F): 1.89 states/eV/f.u.
Offset from the most stable computed form: 0.021 eV per atom


# 7
Density functional theory data (meta-GGA SCAN) for a crystal of SrLi2NiGe relaxed with PBEsol.

Cell lengths 4.4569, 4.7259, 4.7259 Å; angles 90.00, 90.00, 90.00 degrees
Fractional coordinates of all 5 atoms:
Sr 0.5000 0.5000 0.5000
Ge 0.5000 0.0000 0.0000
Li 0.0000 0.0000 0.5000
Li 0.0000 0.5000 0.0000
Ni 0.0000 0.0000 0.0000

Calculated formation energy: -0.2507 eV/atom
N(E_F): 2.09 states/eV/f.u.


# 8
Density functional theory data (meta-GGA SCAN) for a crystal of Li6Ge2O7 relaxed with PBEsol.

Cell lengths 5.2831, 8.0528, 14.1743 Å; angles 93.25, 90.00, 90.00 degrees
Fractional coordinates of all 60 atoms:
Li 0.2901 0.7966 0.1958
Li 0.7901 0.7034 0.3042
Li 0.7099 0.2034 0.8042
Li 0.2099 0.2966 0.6958
Li 0.1283 0.4618 0.1158
Li 0.6283 0.0382 0.3842
Li 0.8717 0.5382 0.8842
Li 0.3717 0.9618 0.6158
Li 0.1670 0.6301 0.7567
Li 0.6670 0.8699 0.7433
Li 0.8526 0.2754 0.0159
Li 0.3526 0.2246 0.4841
Li 0.1474 0.7246 0.9841
Li 0.6474 0.7754 0.5159
Li 0.3058 0.0509 0.0430
Li 0.8058 0.4491 0.4570
Li 0.6942 0.9491 0.9570
Li 0.1942 0.5509 0.5430
Li 0.4851 0.2985 0.1217
Li 0.9851 0.2015 0.3783
Li 0.5149 0.7015 0.8783
Li 0.0149 0.7985 0.6217
Li 0.8330 0.3699 0.2433
Li 0.3330 0.1301 0.2567
Ge 0.6484 0.6467 0.0865
Ge 0.1484 0.8533 0.4135
Ge 0.3516 0.3533 0.9135
Ge 0.8516 0.1467 0.5865
Ge 0.8276 0.0134 0.1697
Ge 0.3276 0.4866 0.3303
Ge 0.1724 0.9866 0.8303
Ge 0.6724 0.5134 0.6697
O 0.2282 0.3603 0.2316
O 0.7311 0.9558 0.6202
O 0.2689 0.0442 0.3798
O 0.7689 0.4558 0.1202
O 0.1810 0.1463 0.5887
O 0.6810 0.3537 0.9113
O 0.7282 0.1397 0.2684
O 0.3190 0.6463 0.0887
O 0.7925 0.3024 0.6853
O 0.2925 0.1976 0.8147
O 0.2075 0.6976 0.3147
O 0.7075 0.8024 0.1853
O 0.7718 0.6397 0.7684
O 0.2718 0.8603 0.7316
O 0.2207 0.2843 0.0178
O 0.7207 0.2157 0.4822
O 0.7793 0.7157 0.9822
O 0.2793 0.7843 0.5178
O 0.6750 0.0918 0.0714
O 0.1750 0.4082 0.4286
O 0.3250 0.9082 0.9286
O 0.8190 0.8537 0.4113
O 0.1555 0.9986 0.1600
O 0.6555 0.5014 0.3400
O 0.8445 0.0014 0.8400
O 0.3445 0.4986 0.6600
O 0.2311 0.5442 0.8798
O 0.8250 0.5918 0.5714

N(E_F): 0.00 states/eV/f.u.
Energy relative to the elements, uncorrected: -2.15 eV/atom


# 9
Density functional theory data (meta-GGA SCAN) for a crystal of Li3GeO relaxed with PBEsol.

Cell lengths 3.9007, 3.9007, 3.9007 Å; angles 90.00, 90.00, 90.00 degrees
Fractional coordinates of all 5 atoms:
Ge 0.5000 0.5000 0.5000
O 0.0000 0.0000 0.0000
Li 0.0000 0.5000 0.0000
Li 0.0000 0.0000 0.5000
Li 0.5000 0.0000 0.0000

N(E_F): 1.76 states/eV/f.u.
Energy relative to the elements, uncorrected: -0.93 eV/atom


# 10
Density functional theory data (meta-GGA SCAN) for a crystal of Li3GeO4 relaxed with PBEsol.

Cell lengths 4.8351, 6.3741, 11.0625 Å; angles 90.00, 90.00, 90.00 degrees
Fractional coordinates of all 32 atoms:
Li 0.2042 0.0014 0.8325
Li 0.7958 0.9986 0.1675
Li 0.7042 0.9986 0.6675
Li 0.7958 0.5014 0.1675
Li 0.2958 0.0014 0.3325
Li 0.2042 0.4986 0.8325
Li 0.2958 0.4986 0.3325
Li 0.7042 0.5014 0.6675
Li 0.7929 0.2500 0.9169
Li 0.2071 0.7500 0.0831
Li 0.2929 0.7500 0.5831
Li 0.7071 0.2500 0.4169
Ge 0.1892 0.2500 0.5847
Ge 0.8108 0.7500 0.4153
Ge 0.6892 0.7500 0.9153
Ge 0.3108 0.2500 0.0847
O 0.2884 0.4793 0.6626
O 0.7116 0.5207 0.3374
O 0.7884 0.5207 0.8374
O 0.7116 0.9793 0.3374
O 0.2116 0.4793 0.1626
O 0.2884 0.0207 0.6626
O 0.2116 0.0207 0.1626
O 0.7884 0.9793 0.8374
O 0.8234 0.2500 0.5847
O 0.1766 0.7500 0.4153
O 0.3234 0.7500 0.9153
O 0.6766 0.2500 0.0847
O 0.2122 0.2500 0.9315
O 0.7878 0.7500 0.0685
O 0.7122 0.7500 0.5685
O 0.2878 0.2500 0.4315

N(E_F): 3.50 states/eV/f.u.
Energy relative to the elements, uncorrected: -1.87 eV/atom


# 11
Density functional theory data (meta-GGA SCAN) for a crystal of Li2Ge4O9 relaxed with PBEsol.

Cell lengths 4.6491, 9.3183, 15.8389 Å; angles 90.00, 90.00, 90.00 degrees
Fractional coordinates of all 60 atoms:
Li 0.4416 0.5341 0.2340
Li 0.5584 0.0341 0.7660
Li 0.4416 0.0341 0.2660
Li 0.5584 0.5341 0.7340
Li 0.5941 0.7253 0.0219
Li 0.4059 0.2253 0.9781
Li 0.5941 0.2253 0.4781
Li 0.4059 0.7253 0.5219
Ge 0.4820 0.7643 0.3451
Ge 0.5180 0.2643 0.6549
Ge 0.4820 0.2643 0.1549
Ge 0.5180 0.7643 0.8451
Ge 0.9866 0.7661 0.2051
Ge 0.0134 0.2661 0.7949
Ge 0.9866 0.2661 0.2949
Ge 0.0134 0.7661 0.7051
Ge 0.0005 0.4741 0.0993
Ge 0.9995 0.9741 0.9007
Ge 0.0005 0.9741 0.4007
Ge 0.9995 0.4741 0.5993
Ge 0.0260 0.5547 0.9061
Ge 0.9740 0.0547 0.0939
Ge 0.0260 0.0547 0.5939
Ge 0.9740 0.5547 0.4061
O 0.7066 0.9301 0.3380
O 0.2934 0.4301 0.6620
O 0.7066 0.4301 0.1620
O 0.2934 0.9301 0.8380
O 0.2555 0.8469 0.4325
O 0.7445 0.3469 0.5675
O 0.2555 0.3469 0.0675
O 0.7445 0.8469 0.9325
O 0.6979 0.6769 0.4310
O 0.3021 0.1769 0.5690
O 0.6979 0.1769 0.0690
O 0.3021 0.6769 0.9310
O 0.2423 0.6030 0.3347
O 0.7577 0.1030 0.6653
O 0.2423 0.1030 0.1653
O 0.7577 0.6030 0.8347
O 0.7065 0.6809 0.2589
O 0.2935 0.1809 0.7411
O 0.7065 0.1809 0.2411
O 0.2935 0.6809 0.7589
O 0.2423 0.8575 0.2648
O 0.7577 0.3575 0.7352
O 0.2423 0.3575 0.2352
O 0.7577 0.8575 0.7648
O 0.1702 0.6290 0.1455
O 0.8298 0.1290 0.8545
O 0.1702 0.1290 0.3545
O 0.8298 0.6290 0.6455
O 0.8391 0.8823 0.1254
O 0.1609 0.3823 0.8746
O 0.8391 0.3823 0.3746
O 0.1609 0.8823 0.6254
O 0.8404 0.5414 0.0048
O 0.1596 0.0414 0.9952
O 0.8404 0.0414 0.4952
O 0.1596 0.5414 0.5048

N(E_F): 0.00 states/eV/f.u.
Energy relative to the elements, uncorrected: -1.92 eV/atom


# 12
Density functional theory data (meta-GGA SCAN) for a crystal of Li4Ge9O20 relaxed with PBEsol.

Cell lengths 7.2926, 7.2926, 7.5467 Å; angles 90.04, 90.04, 64.87 degrees
Fractional coordinates of all 33 atoms:
Li 0.9398 0.7243 0.6384
Li 0.2757 0.0602 0.3616
Li 0.3387 0.6613 0.0000
Li 0.7166 0.2834 0.0000
Ge 0.6482 0.6590 0.2956
Ge 0.3410 0.3518 0.7044
Ge 0.0813 0.4018 0.0439
Ge 0.5982 0.9187 0.9561
Ge 0.9207 0.8768 0.2386
Ge 0.1232 0.0793 0.7614
Ge 0.3329 0.4742 0.3324
Ge 0.5258 0.6671 0.6676
Ge 0.7754 0.2246 0.5000
O 0.4371 0.7817 0.4584
O 0.2183 0.5629 0.5416
O 0.4815 0.8540 0.1336
O 0.1460 0.5185 0.8664
O 0.8430 0.5720 0.1196
O 0.9030 0.0586 0.6768
O 0.9414 0.0970 0.3232
O 0.5506 0.4671 0.2152
O 0.5329 0.4494 0.7848
O 0.3036 0.8341 0.8033
O 0.1659 0.6964 0.1967
O 0.0194 0.2058 0.9624
O 0.7942 0.9806 0.0376
O 0.7601 0.4747 0.5087
O 0.5253 0.2399 0.4913
O 0.1943 0.2135 0.6049
O 0.7865 0.8057 0.3951
O 0.6980 0.7495 0.7746
O 0.2505 0.3020 0.2254
O 0.4280 0.1570 0.8804

N(E_F): 0.00 states/eV/f.u.
Energy relative to the elements, uncorrected: -1.89 eV/atom